(P)
A plane-wave DFT calculation with PBE-GGA was carried out for a geometry-optimized TiTcHg2 structure.

Unit cell a=3.921 b=3.921 c=10.606 alpha=79.35 beta=79.35 gamma=90.00
Positions (direct):
Tc1 0.750 0.250 0.500
Tc2 0.000 0.000 0.000
Hg1 0.875 0.880 0.750
Hg2 0.120 0.625 0.250
Hg3 0.375 0.370 0.750
Hg4 0.630 0.125 0.250
Ti1 0.500 0.500 0.000
Ti2 0.250 0.750 0.500

## Properties
* total magnetization: 0.000 μB per atom
* N(E_F): 1.394 states/eV per atom
* crystal system: tetragonal



(Q)
A plane-wave DFT calculation with PBE-GGA was carried out for a geometry-optimized TiTcHg2 structure.

Unit cell a=4.665 b=4.665 c=4.665 alpha=60.00 beta=60.00 gamma=60.00
Positions (direct):
Tc1 0.500 0.500 0.500
Ti1 0.000 0.000 0.000
Hg1 0.250 0.250 0.250
Hg2 0.750 0.750 0.750

## Properties
* total magnetization: 0.006 μB per atom
* N(E_F): 1.146 states/eV per atom
* crystal system: cubic



Quick ranking, most stable first: (Q), (P).



(P)
A plane-wave DFT calculation with PBE-GGA was carried out for a geometry-optimized Ti3TcHg structure.

Unit cell a=4.858 b=4.858 c=4.858 alpha=90.00 beta=90.00 gamma=90.00
Positions (direct):
Ti1 0.000 0.500 0.000
Ti2 0.500 0.000 0.000
Ti3 0.000 0.000 0.500
Tc1 0.500 0.500 0.500
Hg1 0.000 0.000 0.000

## Properties
* total magnetization: 0.000 μB per atom
* N(E_F): 1.686 states/eV per atom
* crystal system: cubic



(Q)
A plane-wave DFT calculation with PBE-GGA was carried out for a geometry-optimized Ti3TcHg structure.

Unit cell a=4.726 b=4.726 c=4.726 alpha=90.00 beta=90.00 gamma=90.00
Site moments in Bohr magnetons follow the coordinates.
Positions (direct):
Ti1 0.500 0.000 0.000  0.66
Ti2 0.000 0.000 0.500  0.21
Ti3 0.000 0.500 0.000  0.37
Hg1 0.500 0.500 0.500  0.00
Tc1 0.000 0.000 0.000  -0.12

## Properties
* total magnetization: 0.300 μB per atom
* N(E_F): 1.006 states/eV per atom
* crystal system: cubic



Quick ranking, most stable first: (Q), (P).



(P)
A plane-wave DFT calculation with PBE-GGA was carried out for a geometry-optimized TiTc2Hg2 structure.

Unit cell a=7.982 b=7.982 c=2.945 alpha=90.00 beta=90.00 gamma=90.00
Positions (direct):
Hg1 0.813 0.687 0.000
Hg2 0.313 0.813 0.000
Hg3 0.687 0.187 0.000
Hg4 0.187 0.313 0.000
Tc1 0.104 0.604 0.500
Tc2 0.604 0.896 0.500
Tc3 0.896 0.396 0.500
Tc4 0.396 0.104 0.500
Ti1 0.000 0.000 0.000
Ti2 0.500 0.500 0.000

## Properties
* total magnetization: 0.000 μB per atom
* N(E_F): 0.971 states/eV per atom
* crystal system: tetragonal



(Q)
A plane-wave DFT calculation with PBE-GGA was carried out for a geometry-optimized TiTc2Hg2 structure.

Unit cell a=3.557 b=3.557 c=7.890 alpha=76.97 beta=76.97 gamma=90.00
Positions (direct):
Tc1 0.250 0.750 0.500
Tc2 0.750 0.250 0.500
Ti1 0.000 0.000 0.000
Hg1 0.599 0.599 0.802
Hg2 0.401 0.401 0.198

## Properties
* total magnetization: 0.000 μB per atom
* N(E_F): 0.893 states/eV per atom
* crystal system: tetragonal



Quick ranking, most stable first: (Q), (P).